Entry 1:
Crystalline NdBPt3 at its relaxed geometry, computed with PBE.

Space group   P4mm, No. 99
ΔE_f   -4.4 eV/f.u.
VASP energy   -6.80 eV/atom
Total magnetization   0.00 Bohr magnetons per cell

Cell lengths 4.0469, 4.0469, 5.1088 Å; angles 90.00, 90.00, 90.00 degrees
With the nearest neighbours (Å) after each atom.
Fractional coordinates of all 5 atoms:
Nd 0.0000 0.0000 0.0000  8 Pt 2.93-3.18, 4 B 3.23
B 0.5000 0.5000 0.7081  5 Pt 2.10-2.24
Pt 0.0000 0.5000 0.5205  2 B 2.24
Pt 0.5000 0.0000 0.5205  2 B 2.24
Pt 0.5000 0.5000 0.1194  1 B 2.10

Entry 2:
Crystalline NdBPt2 at its relaxed geometry, computed with PBE.

Space group   R-3m, No. 166
ΔE_f   -1.2 eV/f.u.
VASP energy   -6.19 eV/atom
Total magnetization   0.00 Bohr magnetons per cell

Cell lengths 4.5502, 4.5502, 4.5502 Å; angles 69.56, 69.56, 69.56 degrees
With the nearest neighbours (Å) after each atom.
Fractional coordinates of all 4 atoms:
Nd 0.0000 0.0000 0.0000  8 Pt 3.01-3.20
B 0.5000 0.5000 0.5000  2 Pt 1.94
Pt 0.3111 0.3111 0.3111  1 B 1.94
Pt 0.6889 0.6889 0.6889  1 B 1.94

Entry 3:
Crystalline Nd3B2PtRh9 at its relaxed geometry, computed with PBE.

Space group   P-3m1, No. 164
ΔE_f   -7.0 eV/f.u.
VASP energy   -7.13 eV/atom
Total magnetization   0.00 Bohr magnetons per cell

Cell lengths 5.8120, 5.8120, 8.8866 Å; angles 90.00, 90.00, 120.00 degrees
With the nearest neighbours (Å) after each atom.
Fractional coordinates of all 15 atoms:
Nd 0.0000 0.0000 0.0000  12 Rh 2.91-2.92
Nd 0.3333 0.6667 0.6266  6 Rh 3.04
Nd 0.6667 0.3333 0.3734  6 Rh 3.04
B 0.3333 0.6667 0.1449  6 Rh 2.05-2.11
B 0.6667 0.3333 0.8551  6 Rh 2.05-2.11
Pt 0.0000 0.0000 0.5000  6 Rh 2.61
Rh 0.0000 0.5000 0.0000  2 B 2.11
Rh 0.1628 0.3256 0.2715  1 B 2.05
Rh 0.1628 0.8372 0.2715  1 B 2.05
Rh 0.3256 0.1628 0.7285  1 B 2.05
Rh 0.5000 0.0000 0.0000  2 B 2.11
Rh 0.5000 0.5000 0.0000  2 B 2.11
Rh 0.6744 0.8372 0.2715  1 B 2.05
Rh 0.8372 0.1628 0.7285  1 B 2.05
Rh 0.8372 0.6744 0.7285  1 B 2.05